<a>
# Sc5Tl3 (PBE-GGA, relaxed)
data_Sc5Tl3
_cell_length_a 11.433
_cell_length_b 11.433
_cell_length_c 5.820
_cell_angle_alpha 90.00
_cell_angle_beta 90.00
_cell_angle_gamma 90.00
_symmetry_space_group_name_H-M 'I 4/m c m'
_symmetry_Int_Tables_number 140
_symmetry_space_group_name_Hall '-I 4 2c'
loop_
_atom_site_label
_atom_site_fract_x
_atom_site_fract_y
_atom_site_fract_z
Sc1 0.000 0.500 0.250
Sc2 0.080 0.222 0.000
Tl1 0.000 0.000 0.250
Tl2 0.162 0.338 0.500
# * ρ: 7.32 g/cm3


<b>
# Sc5Tl3 (PBE-GGA, relaxed)
data_Sc5Tl3
_cell_length_a 8.5292
_cell_length_b 8.5292
_cell_length_c 6.1418
_cell_angle_alpha 90.00
_cell_angle_beta 90.00
_cell_angle_gamma 120.00
_symmetry_space_group_name_H-M 'P 63/m c m'
_symmetry_Int_Tables_number 193
_symmetry_space_group_name_Hall '-P 6c 2'
loop_
_atom_site_label
_atom_site_fract_x
_atom_site_fract_y
_atom_site_fract_z
Sc1 0.0000 0.2330 0.2500
Sc2 0.3333 0.6667 0.0000
Tl1 0.0000 0.3999 0.7500
# * ρ: 7.19 g/cm3


<c>
# Sc5Tl3 (PBE-GGA, relaxed)
data_Sc5Tl3
_cell_length_a 7.661
_cell_length_b 10.144
_cell_length_c 4.877
_cell_angle_alpha 90.00
_cell_angle_beta 90.00
_cell_angle_gamma 90.00
_symmetry_space_group_name_H-M 'C m m m'
_symmetry_Int_Tables_number 65
_symmetry_space_group_name_Hall '-C 2 2'
loop_
_atom_site_label
_atom_site_fract_x
_atom_site_fract_y
_atom_site_fract_z
Sc1 0.000 0.000 0.000
Sc2 0.217 0.500 0.500
Sc3 0.250 0.250 0.000
Tl1 0.000 0.209 0.500
Tl2 0.000 0.500 0.000
# * ρ: 7.34 g/cm3


<d>
# Sc5Tl3 (PBE-GGA, relaxed)
data_Sc5Tl3
_cell_length_a 6.370
_cell_length_b 12.398
_cell_length_c 4.836
_cell_angle_alpha 90.00
_cell_angle_beta 90.00
_cell_angle_gamma 90.00
_symmetry_space_group_name_H-M 'P b a m'
_symmetry_Int_Tables_number 55
loop_
_symmetry_equiv_pos_as_xyz
'x,y,z'
'-x,-y,-z'
'-x,-y,z'
'x,y,-z'
'x+1/2,-y+1/2,-z'
'-x+1/2,y+1/2,z'
'-x+1/2,y+1/2,-z'
'x+1/2,-y+1/2,z'
loop_
_atom_site_label
_atom_site_fract_x
_atom_site_fract_y
_atom_site_fract_z
Sc1 0.000 0.000 0.000
Sc2 0.140 0.268 0.000
Sc3 0.158 0.609 0.500
Tl1 0.000 0.500 0.000
Tl2 0.119 0.851 0.500
# * ρ: 7.29 g/cm3


Energies, relative to the best one, in meV per atom: <a> 10; <b> 0; <c> 47; <d> 21.